1 | ## CaLa2Tb (PBE)

Data for CaLa2Tb after structural relaxation.

Calculated values
Theoretical density (g/cm³): 5.4
Magnetic moment (Bohr magnetons per cell): 0.01

Cell lengths 5.9307, 5.9307, 5.9307 Å; angles 60.00, 60.00, 60.00 degrees
With the nearest neighbours (Å) after each atom.
Fractional positions:
1 Ca 0.5000 0.5000 0.5000  8 La 3.63
2 Tb 0.0000 0.0000 0.0000  8 La 3.63
3 La 0.2500 0.2500 0.2500  4 Tb 3.63, 4 Ca 3.63
4 La 0.7500 0.7500 0.7500  4 Tb 3.63, 4 Ca 3.63



2 | ## CaLa2Tb (PBE)

Data for CaLa2Tb after structural relaxation.

Calculated values
Theoretical density (g/cm³): 5.4
Magnetic moment (Bohr magnetons per cell): 0.00

Cell lengths 3.6969, 3.6969, 10.7957 Å; angles 90.00, 90.00, 90.00 degrees
With the nearest neighbours (Å) after each atom.
Fractional positions:
1 Ca 0.5000 0.5000 0.5000  4 Ca 3.70, 8 La 3.89
2 Tb 0.5000 0.5000 0.0000  8 La 3.63, 4 Tb 3.70
3 La 0.0000 0.0000 0.7672  4 Tb 3.63, 4 La 3.70, 4 Ca 3.89
4 La 0.0000 0.0000 0.2328  4 Tb 3.63, 4 La 3.70, 4 Ca 3.89



3 | ## CaLa2Tb (PBE)

Data for CaLa2Tb after structural relaxation.

Calculated values
Theoretical density (g/cm³): 5.3
Magnetic moment (Bohr magnetons per cell): 0.00

Cell lengths 3.6409, 3.6409, 13.2155 Å; angles 82.08, 82.08, 60.00 degrees
With the nearest neighbours (Å) after each atom.
Fractional positions:
1 Ca 0.0000 0.0000 0.0000  2 La 3.58, 6 Ca 3.64
2 Tb 0.5000 0.5000 0.5000  6 La 3.62, 6 Tb 3.64
3 La 0.0915 0.0915 0.7254  1 Ca 3.58, 3 Tb 3.62, 6 La 3.64
4 La 0.9085 0.9085 0.2746  1 Ca 3.58, 3 Tb 3.62, 6 La 3.64



4 | ## CaLa2Tb (PBE)

Data for CaLa2Tb after structural relaxation.

Calculated values
Theoretical density (g/cm³): 5.4
Magnetic moment (Bohr magnetons per cell): 0.00

Cell lengths 3.7074, 3.7074, 12.5648 Å; angles 81.52, 81.52, 60.00 degrees
With the nearest neighbours (Å) after each atom.
Fractional positions:
1 Ca 0.4998 0.4998 0.5005  6 Ca 3.71, 6 La 3.91-3.93
2 La 0.0783 0.0783 0.7650  3 Tb 3.61, 6 La 3.71, 3 Ca 3.91
3 La 0.2551 0.2551 0.2347  3 Tb 3.61, 6 La 3.71, 3 Ca 3.93
4 Tb 0.6667 0.6667 0.9998  6 La 3.61, 6 Tb 3.71



Stability ranking, top and bottom: 4 is the most stable and 3 is the least stable.



1 | ## CaLa2Tb (PBE)

Data for CaLa2Tb after structural relaxation.

Calculated values
Theoretical density (g/cm³): 5.4
Magnetic moment (Bohr magnetons per cell): 0.00

Cell lengths 5.0100, 5.3974, 5.3974 Å; angles 90.00, 90.00, 90.00 degrees
With the nearest neighbours (Å) after each atom.
Fractional positions:
1 Ca 0.5000 0.0000 0.0000  8 La 3.68, 4 Tb 3.82
2 Tb 0.5000 0.5000 0.5000  8 La 3.68, 4 Ca 3.82
3 La 0.0000 0.0000 0.5000  4 Tb 3.68, 4 Ca 3.68, 4 La 3.82
4 La 0.0000 0.5000 0.0000  4 Tb 3.68, 4 Ca 3.68, 4 La 3.82



2 | ## CaLa2Tb (PBE)

Data for CaLa2Tb after structural relaxation.

Calculated values
Theoretical density (g/cm³): 5.4
Magnetic moment (Bohr magnetons per cell): 0.00

Cell lengths 3.7062, 3.7062, 12.5222 Å; angles 81.49, 81.49, 60.00 degrees
With the nearest neighbours (Å) after each atom.
Fractional positions:
1 Ca 0.5000 0.5000 0.5000  6 Ca 3.71, 6 La 3.90
2 La 0.7453 0.7453 0.7640  3 Tb 3.61, 6 La 3.71, 3 Ca 3.90
3 La 0.2547 0.2547 0.2360  3 Tb 3.61, 6 La 3.71, 3 Ca 3.90
4 Tb 0.0000 0.0000 0.0000  6 La 3.61, 6 Tb 3.71



Stability ranking, top and bottom: 2 is the most stable and 1 is the least stable.



1 | ## CaLaTb (PBE)

Data for CaLaTb after structural relaxation.

Calculated values
Theoretical density (g/cm³): 5.1
Magnetic moment (Bohr magnetons per cell): 0.00

Cell lengths 5.9609, 5.9609, 3.5653 Å; angles 90.00, 90.00, 120.00 degrees
With the nearest neighbours (Å) after each atom.
Fractional positions:
1 Ca 0.0000 0.0000 0.0000  2 Ca 3.57, 6 Tb 3.87-3.88, 6 La 3.88
2 La 0.3333 0.6667 0.5005  3 Tb 3.44, 2 La 3.57
3 Tb 0.6667 0.3333 0.4994  3 La 3.44, 2 Tb 3.57



2 | ## CaLaTb (PBE)

Data for CaLaTb after structural relaxation.

Calculated values
Theoretical density (g/cm³): 5.1
Magnetic moment (Bohr magnetons per cell): 0.00

Cell lengths 3.7340, 3.7340, 8.3434 Å; angles 102.93, 102.93, 90.00 degrees
With the nearest neighbours (Å) after each atom.
Fractional positions:
1 Ca 0.9964 0.9964 0.9928  4 Ca 3.73, 4 Tb 3.77, 4 La 3.89
2 Tb 0.3266 0.3266 0.6532  4 La 3.55, 4 Tb 3.73, 4 Ca 3.77
3 La 0.6770 0.6770 0.3541  4 Tb 3.55, 4 La 3.73, 4 Ca 3.89



Stability ranking, top and bottom: 2 is the most stable and 1 is the least stable.



1 | ## CaLaTb (PBE)

Data for CaLaTb after structural relaxation.

Calculated values
Theoretical density (g/cm³): 5.0
Magnetic moment (Bohr magnetons per cell): 0.00

Cell lengths 3.6385, 3.6943, 16.7466 Å; angles 90.03, 96.24, 90.00 degrees
With the nearest neighbours (Å) after each atom.
Fractional positions:
1 Ca 0.9502 0.7509 0.9004  6 Ca 3.64-3.80, 4 La 3.88
2 Ca 0.0498 0.2491 0.0996  6 Ca 3.64-3.80, 4 La 3.88
3 La 0.6364 0.7489 0.2727  4 Tb 3.63, 4 La 3.64-3.69, 4 Ca 3.88
4 La 0.3636 0.2511 0.7273  4 Tb 3.63, 4 La 3.64-3.69, 4 Ca 3.88
5 Tb 0.7874 0.7504 0.5748  8 Tb 3.59-3.69, 4 La 3.63
6 Tb 0.2126 0.2496 0.4252  8 Tb 3.59-3.69, 4 La 3.63



2 | ## CaLaTb (PBE)

Data for CaLaTb after structural relaxation.

Calculated values
Theoretical density (g/cm³): 5.1
Magnetic moment (Bohr magnetons per cell): 0.00

Cell lengths 3.7057, 3.7057, 9.2341 Å; angles 90.00, 90.00, 120.00 degrees
With the nearest neighbours (Å) after each atom.
Fractional positions:
1 Ca 0.0000 0.0000 0.0065  6 Ca 3.71, 3 Tb 3.77, 3 La 3.92
2 Tb 0.6667 0.3333 0.3430  3 La 3.56, 6 Tb 3.71, 3 Ca 3.77
3 La 0.3333 0.6667 0.6505  3 Tb 3.56, 6 La 3.71, 3 Ca 3.92



Stability ranking, top and bottom: 2 is the most stable and 1 is the least stable.